# CeCd2Au2, optimized geometry, DFT PBE
# * crystal system: monoclinic
# * calculated formation energy: -0.419 eV per atom
# * ρ: 11.18 g/cm³
# * spin magnetization: 0.76 μB/f.u.
# * DFT total energy: -32.8 eV per cell
# * DOS at the Fermi energy: 6.738 states/eV/f.u.
data_CeCd2Au2
_cell_length_a 8.652
_cell_length_b 5.069
_cell_length_c 5.612
_cell_angle_alpha 90.00
_cell_angle_beta 113.61
_cell_angle_gamma 90.00
_space_group_name_H-M_alt 'C 1 2/m 1'
_space_group_IT_number 12
_space_group_name_Hall '-C 2y'
loop_
_atom_site_label
_atom_site_type_symbol
_atom_site_fract_x
_atom_site_fract_y
_atom_site_fract_z
Ce1 Ce 0.000 0.000 0.000
Cd1 Cd 0.240 0.000 0.657
Au1 Au 0.108 0.500 0.763


# CuPNCl2, optimized geometry, DFT PBE
# * crystal system: tetragonal
# * ρ: 3.05 g/cm³
# * energy relative to the elements, uncorrected: 0.906 eV/atom
# * spin magnetization: 0.00 μB/f.u.
# * DFT total energy: -17.0 eV per cell
# * DOS at the Fermi energy: 3.965 states/eV/f.u.
data_CuPNCl2
_cell_length_a 5.403
_cell_length_b 5.403
_cell_length_c 3.348
_cell_angle_alpha 90.00
_cell_angle_beta 90.00
_cell_angle_gamma 90.00
_space_group_name_H-M_alt 'P 4/m m m'
_space_group_IT_number 123
_space_group_name_Hall '-P 4 2'
loop_
_atom_site_label
_atom_site_type_symbol
_atom_site_fract_x
_atom_site_fract_y
_atom_site_fract_z
Cu1 Cu 0.000 0.000 0.000
P1 P 0.500 0.500 0.000
N1 N 0.500 0.500 0.500
Cl1 Cl 0.000 0.500 0.500


# MoRuAu2, optimized geometry, DFT PBE
# * crystal system: cubic
# * calculated formation energy: 0.526 eV per atom
# * ρ: 14.98 g/cm³
# * spin magnetization: 0.00 μB/f.u.
# * DFT total energy: -98.2 eV per cell
# * DOS at the Fermi energy: 5.915 states/eV/f.u.
data_MoRuAu2
_cell_length_a 6.399
_cell_length_b 6.399
_cell_length_c 6.399
_cell_angle_alpha 90.00
_cell_angle_beta 90.00
_cell_angle_gamma 90.00
_space_group_name_H-M_alt 'F m -3 m'
_space_group_IT_number 225
_space_group_name_Hall '-F 4 2 3'
loop_
_atom_site_label
_atom_site_type_symbol
_atom_site_fract_x
_atom_site_fract_y
_atom_site_fract_z
Mo1 Mo 0.000 0.000 0.000
Ru1 Ru 0.000 0.000 0.500
Au1 Au 0.250 0.250 0.250


# NdThRh, optimized geometry, DFT PBE
# * crystal system: monoclinic
# * calculated formation energy: -0.450 eV per atom
# * ρ: 9.12 g/cm³
# * spin magnetization: 0.00 μB/f.u.
# * DFT total energy: -83.6 eV per cell
# * DOS at the Fermi energy: 2.662 states/eV/f.u.
data_NdThRh
_cell_length_a 7.122
_cell_length_b 6.141
_cell_length_c 10.085
_cell_angle_alpha 90.00
_cell_angle_beta 127.69
_cell_angle_gamma 90.00
_space_group_name_H-M_alt 'P 1 21/c 1'
_space_group_IT_number 14
_space_group_name_Hall '-P 2ybc'
loop_
_atom_site_label
_atom_site_type_symbol
_atom_site_fract_x
_atom_site_fract_y
_atom_site_fract_z
Nd1 Nd 0.202 0.128 0.384
Th1 Th 0.327 0.633 0.625
Rh1 Rh 0.316 0.622 0.344